AcMoPdO6 after structural relaxation. Source: Alexandria via LeMat-Bulk, functional PBE+U.

Results
- Crystal system: tetragonal
- Total magnetic moment: 2.0 Bohr magnetons per cell
- E_tot: -121.54 eV/cell

Lattice parameters (Å, degrees): 5.118 5.118 9.957 90.00 90.00 90.00
Positions (direct):
Ac  0.000  0.000  0.000
Ac  0.500  0.500  0.500
Mo  0.000  0.000  0.663
Mo  0.500  0.500  0.163
Pd  0.000  0.000  0.328
Pd  0.500  0.500  0.828
O  0.164  0.164  0.494
O  0.193  0.193  0.786
O  0.226  0.226  0.176
O  0.274  0.726  0.676
O  0.307  0.693  0.286
O  0.336  0.664  0.994
O  0.664  0.336  0.994
O  0.693  0.307  0.286
O  0.726  0.274  0.676
O  0.774  0.774  0.176
O  0.807  0.807  0.786
O  0.836  0.836  0.494